CuSi2P | PBE | optimized geometry

```
data_CuSi2P
_chemical_formula_sum 'Cu1 Si2 P1'
_cell_length_a 3.596
_cell_length_b 3.596
_cell_length_c 4.439
_cell_angle_alpha 90.00
_cell_angle_beta 90.00
_cell_angle_gamma 90.00
_symmetry_space_group_name_H-M 'P 4/m m m'
_symmetry_Int_Tables_number 123
_symmetry_space_group_name_Hall '-P 4 2'
loop_
_atom_site_label
_atom_site_fract_x
_atom_site_fract_y
_atom_site_fract_z
Cu1 0.000 0.000 0.000
Si1 0.000 0.500 0.500
P1 0.500 0.500 0.000
```

## Properties
Electronic total energy, eV per atom: -4.64
Calculated density, g/cm³: 4.36
Raw formation energy, eV/atom: 0.44



Li2CrTc | PBE | optimized geometry

```
data_Li2CrTc
_chemical_formula_sum 'Li2 Cr1 Tc1'
_cell_length_a 3.038
_cell_length_b 3.038
_cell_length_c 6.579
_cell_angle_alpha 90.00
_cell_angle_beta 90.00
_cell_angle_gamma 90.00
_symmetry_space_group_name_H-M 'P 4 m m'
_symmetry_Int_Tables_number 99
loop_
_symmetry_equiv_pos_as_xyz
'x,y,z'
'-y,x,z'
'-x,-y,z'
'y,-x,z'
'-x,y,z'
'y,x,z'
'x,-y,z'
'-y,-x,z'
loop_
_atom_site_label
_atom_site_fract_x
_atom_site_fract_y
_atom_site_fract_z
Li1 0.000 0.000 0.000
Li2 0.500 0.500 0.279
Cr1 0.500 0.500 0.721
Tc1 0.000 0.000 0.551
```

## Properties
E_form, eV/atom: 0.278
Electronic total energy, eV per atom: -5.68
Calculated density, g/cm³: 4.48



Mn2CoRe | PBE | optimized geometry

```
data_Mn2CoRe
_chemical_formula_sum 'Mn2 Co1 Re1'
_cell_length_a 2.577
_cell_length_b 4.099
_cell_length_c 4.862
_cell_angle_alpha 90.00
_cell_angle_beta 101.98
_cell_angle_gamma 90.00
_symmetry_space_group_name_H-M 'P 1 m 1'
_symmetry_Int_Tables_number 6
loop_
_symmetry_equiv_pos_as_xyz
'x,y,z'
'x,-y,z'
loop_
_atom_site_label
_atom_site_fract_x
_atom_site_fract_y
_atom_site_fract_z
Mn1 0.000 0.000 0.000
Mn2 0.258 0.500 0.742
Co1 0.484 0.000 0.512
Re1 0.754 0.500 0.243
```

## Properties
E_form, eV/atom: 0.127
Electronic total energy, eV per atom: -9.35
Calculated density, g/cm³: 11.73



Li12TlPd6 | PBE | optimized geometry

```
data_Li12TlPd6
_chemical_formula_sum 'Li36 Tl3 Pd18'
_cell_length_a 12.0317
_cell_length_b 12.0317
_cell_length_c 6.8080
_cell_angle_alpha 90.00
_cell_angle_beta 90.00
_cell_angle_gamma 120.00
_symmetry_space_group_name_H-M 'R -3'
_symmetry_Int_Tables_number 148
_symmetry_space_group_name_Hall '-R 3'
loop_
_atom_site_label
_atom_site_fract_x
_atom_site_fract_y
_atom_site_fract_z
Li1 0.0088 0.1489 0.1583
Li2 0.0571 0.5629 0.1800
Tl1 0.0000 0.0000 0.5000
Pd1 0.0284 0.2700 0.8152
```

## Properties
E_form, eV/atom: -0.331
Electronic total energy, eV per atom: -3.30
Calculated density, g/cm³: 5.41



Question: Look up the electronic total energy of the third one.
Answer: -9.35 eV per atom